Entry 1:
Tc3Cl, optimized geometry, DFT PBE; distance to the lowest polymorph of the same formula = 270 meV per atom; energy relative to the elements, uncorrected = 0.542 eV per atom; total magnetic moment = 0.0 Bohr magnetons per cell; calculated volume = 15.2 Å³ per atom
1.0
-0.7144 -3.3801 -3.8054
0.7753 -4.7744 -1.7378
-3.6419 -1.2504 1.7809
Tc Cl
3 1
Direct
0.7863 0.7863 0.7258
0.2137 0.2137 0.2742
0.5000 0.5000 0.5000
0.0000 0.0000 0.0000

***

Entry 2:
Tc2Cl, optimized geometry, DFT PBE; distance to the lowest polymorph of the same formula = 1098 meV per atom; energy relative to the elements, uncorrected = 1.172 eV per atom; total magnetic moment = 0.0 Bohr magnetons per cell; calculated volume = 15.0 Å³ per atom
1.0
1.7657 3.8785 -1.6517
-3.5651 -1.9577 -2.0848
-3.1120 2.6309 2.8512
Tc Cl
4 2
Direct
0.3333 0.6667 0.7500
0.6667 0.3333 0.2500
0.0000 0.0000 0.0000
0.0000 0.0000 0.5000
0.3333 0.6667 0.2500
0.6667 0.3333 0.7500